# Ce7Ru3 (meta-GGA SCAN, single point on PBEsol structure)
data_Ce7Ru3
_cell_length_a 9.3669
_cell_length_b 9.3669
_cell_length_c 5.9886
_cell_angle_alpha 90.00
_cell_angle_beta 90.00
_cell_angle_gamma 120.00
_symmetry_space_group_name_H-M 'P 63 m c'
_symmetry_Int_Tables_number 186
_symmetry_space_group_name_Hall 'P 6c -2c'
loop_
_atom_site_label
_atom_site_type_symbol
_atom_site_fract_x
_atom_site_fract_y
_atom_site_fract_z
Ce1 Ce 0.0772 0.5386 0.0000
Ce2 Ce 0.1266 0.2533 0.2620
Ce3 Ce 0.3333 0.6667 0.4640
Ru1 Ru 0.1816 0.3633 0.7341
# **Energy of formation from the pure elements**: -0.286 eV per atom
# **Crystal system**: hexagonal
# **Magnetization**: 0.04 μB per formula unit